A relaxed AlCrGa2O6 crystal, computed with PBE with a Hubbard U.

abc: 5.005 5.006 5.355
angles: 62.14 62.15 60.00
Fractional coordinates of all 10 atoms:
Al1 0.316 0.316 0.052
Cr1 0.817 0.817 0.549
Ga1 0.524 0.524 0.429
Ga2 0.024 0.024 0.927
O1 0.596 0.219 0.254
O2 0.219 0.930 0.254
O3 0.930 0.596 0.254
O4 0.416 0.707 0.765
O5 0.707 0.112 0.765
O6 0.112 0.416 0.765

Properties
Total moment, μB/atom: 0.30
V, Å³/atom: 9.78
Total energy, eV for the cell shown: -68.51